(1)
First-principles (GGA-PBE) data for an optimized crystal structure of Sm3DyYEr, as listed in Alexandria via LeMat-Bulk.

## Properties
formation energy	0.0192	eV/atom
ρ	7.39	Mg/m³
D(E_F)	8.42	states/eV/f.u.
electronic total energy	-4.95	eV per atom

The structure in POSCAR format:
```
Sm3DyYEr
1.0
-3.7107 0.9533 -3.3147
2.2096 -7.6683 -0.8076
-6.8842 -2.7131 6.9265
Sm Dy Y Er
6 2 2 2
direct
0.6655 0.3310 0.5004
0.3345 0.6690 0.4996
0.3345 0.6690 0.0004
0.6655 0.3310 0.9996
0.1656 0.3311 0.7500
0.8344 0.6689 0.2500
0.0000 0.0000 0.5000
0.0000 0.0000 0.0000
0.8344 0.6688 0.7500
0.1656 0.3312 0.2500
0.4996 0.9993 0.7500
0.5004 0.0007 0.2500
```

---

(2)
First-principles (GGA-PBE) data for an optimized crystal structure of SmDyY5Er2, as listed in Alexandria via LeMat-Bulk.

## Properties
formation energy	0.1573	eV/atom
ρ	6.12	Mg/m³
D(E_F)	15.58	states/eV/f.u.
electronic total energy	-5.48	eV per atom

The structure in POSCAR format:
```
SmDyY5Er2
1.0
5.6137 0.0000 0.0000
-2.8069 10.0470 0.0000
0.0000 0.0000 10.4980
Sm Dy Y Er
2 2 10 4
direct
0.8034 0.6068 0.5139
0.1966 0.3932 0.0139
0.5871 0.1742 0.9502
0.4129 0.8258 0.4502
0.3884 0.7767 0.0249
0.7217 0.4434 0.8150
0.4785 0.9569 0.7373
0.3007 0.6014 0.7052
0.9837 0.9673 0.5227
0.6116 0.2233 0.5249
0.2783 0.5566 0.3150
0.5215 0.0431 0.2373
0.6993 0.3986 0.2052
0.0163 0.0327 0.0227
0.8874 0.7749 0.8183
0.1105 0.2211 0.7364
0.1126 0.2251 0.3183
0.8895 0.7789 0.2364
```

---

(3)
First-principles (GGA-PBE) data for an optimized crystal structure of SmDy2Y6Er, as listed in Alexandria via LeMat-Bulk.

## Properties
formation energy	0.1177	eV/atom
ρ	6.00	Mg/m³
D(E_F)	15.27	states/eV/f.u.
electronic total energy	-5.61	eV per atom

The structure in POSCAR format:
```
SmDy2Y6Er
1.0
9.1597 -2.0151 -2.0913
0.7569 8.5224 -1.9750
0.7569 -2.2895 8.4434
Sm Dy Y Er
2 4 12 2
direct
0.2500 0.9761 0.0239
0.7500 0.0239 0.9761
0.4533 0.8023 0.7000
0.0467 0.3000 0.1977
0.5467 0.1977 0.3000
0.9533 0.7000 0.8023
0.0566 0.1222 0.7513
0.4434 0.2487 0.8778
0.9434 0.8778 0.2487
0.5566 0.7513 0.1222
0.3163 0.9847 0.4322
0.1837 0.5678 0.0153
0.6837 0.0153 0.5678
0.8163 0.4322 0.9847
0.1175 0.7067 0.4925
0.3825 0.5075 0.2933
0.8825 0.2933 0.5075
0.6175 0.4925 0.7067
0.2500 0.4092 0.5908
0.7500 0.5908 0.4092
```

---

(4)
First-principles (GGA-PBE) data for an optimized crystal structure of Sm6Dy3Y2Er, as listed in Alexandria via LeMat-Bulk.

## Properties
formation energy	0.0138	eV/atom
ρ	7.37	Mg/m³
D(E_F)	14.73	states/eV/f.u.
electronic total energy	-4.95	eV per atom

The structure in POSCAR format:
```
Sm6Dy3Y2Er
1.0
-5.8716 -1.9087 0.7762
3.8611 -3.2280 -3.6597
3.9647 -4.7177 10.1019
Sm Dy Y Er
6 3 2 1
direct
0.9163 0.5839 0.7498
0.7513 0.7513 0.2504
0.0837 0.4161 0.2502
0.5839 0.9163 0.7498
0.2487 0.2487 0.7496
0.4161 0.0837 0.2502
0.1667 0.8333 0.5000
0.8333 0.1667 0.5000
0.5000 0.5000 0.5000
0.3334 0.6666 0.0000
0.6666 0.3334 0.0000
0.0000 0.0000 0.0000
```

---

(5)
First-principles (GGA-PBE) data for an optimized crystal structure of SmDy6YEr2, as listed in Alexandria via LeMat-Bulk.

## Properties
formation energy	0.1189	eV/atom
ρ	8.01	Mg/m³
D(E_F)	14.53	states/eV/f.u.
electronic total energy	-4.67	eV per atom

The structure in POSCAR format:
```
SmDy6YEr2
1.0
-4.5581 -3.3116 -7.6830
7.7276 -3.3534 -2.4307
-4.8996 -4.6261 5.6092
Sm Dy Y Er
2 12 2 4
direct
0.2500 0.9744 0.0256
0.7500 0.0256 0.9744
0.0560 0.1216 0.7518
0.4440 0.2482 0.8784
0.9440 0.8784 0.2482
0.5560 0.7518 0.1216
0.3177 0.9807 0.4335
0.1823 0.5665 0.0193
0.6823 0.0193 0.5665
0.8177 0.4335 0.9807
0.1197 0.7086 0.4922
0.3803 0.5078 0.2914
0.8803 0.2914 0.5078
0.6197 0.4922 0.7086
0.2500 0.4089 0.5911
0.7500 0.5911 0.4089
0.4548 0.8018 0.6969
0.0452 0.3031 0.1982
0.5452 0.1982 0.3031
0.9548 0.6969 0.8018
```

---

(6)
First-principles (GGA-PBE) data for an optimized crystal structure of Sm2Dy2Y6Er, as listed in Alexandria via LeMat-Bulk.

## Properties
formation energy	0.1440	eV/atom
ρ	6.10	Mg/m³
D(E_F)	18.38	states/eV/f.u.
electronic total energy	-5.49	eV per atom

The structure in POSCAR format:
```
Sm2Dy2Y6Er
1.0
6.6097 -0.6133 -0.4858
-3.8000 5.4428 -0.4858
-1.9015 -3.2685 11.3937
Sm Dy Y Er
2 2 6 1
direct
0.8662 0.1338 0.0000
0.1338 0.8662 0.0000
0.2935 0.7065 0.5000
0.7065 0.2935 0.5000
0.7033 0.7033 0.7038
0.1390 0.4444 0.7922
0.2967 0.2967 0.2962
0.4444 0.1390 0.7922
0.8610 0.5556 0.2078
0.5556 0.8610 0.2078
0.0000 0.0000 0.5000
```

---

(7)
First-principles (GGA-PBE) data for an optimized crystal structure of Sm4Dy2YEr2, as listed in Alexandria via LeMat-Bulk.

## Properties
formation energy	0.0198	eV/atom
ρ	7.70	Mg/m³
D(E_F)	12.89	states/eV/f.u.
electronic total energy	-4.83	eV per atom

The structure in POSCAR format:
```
Sm4Dy2YEr2
1.0
5.0519 0.0000 0.0000
-2.5260 7.5928 0.0132
0.0000 -2.5437 7.5834
Sm Dy Y Er
4 2 1 2
direct
0.7771 0.5542 0.6676
0.2229 0.4458 0.3324
0.5547 0.1094 0.3325
0.4453 0.8906 0.6675
0.8885 0.7770 0.3319
0.1115 0.2230 0.6681
0.0000 0.0000 0.0000
0.3325 0.6650 0.0003
0.6675 0.3350 0.9997
```

---

(8)
First-principles (GGA-PBE) data for an optimized crystal structure of Sm3Dy2YEr6, as listed in Alexandria via LeMat-Bulk.

## Properties
formation energy	0.0198	eV/atom
ρ	8.20	Mg/m³
D(E_F)	15.97	states/eV/f.u.
electronic total energy	-4.75	eV per atom

The structure in POSCAR format:
```
Sm3Dy2YEr6
1.0
-3.7440 3.9948 2.8023
-1.7385 -2.6665 -5.2627
-2.9563 -9.1025 6.7830
Sm Dy Y Er
3 2 1 6
direct
0.1666 0.8334 0.5000
0.8334 0.1666 0.5000
0.5000 0.5000 0.5000
0.3334 0.6666 0.0000
0.6666 0.3334 0.0000
0.0000 0.0000 0.0000
0.9172 0.5832 0.7518
0.7487 0.7487 0.2481
0.0828 0.4168 0.2482
0.5832 0.9172 0.7518
0.2513 0.2513 0.7519
0.4168 0.0828 0.2482
```

---

(9)
First-principles (GGA-PBE) data for an optimized crystal structure of Sm3DyY6Er2, as listed in Alexandria via LeMat-Bulk.

## Properties
formation energy	0.0199	eV/atom
ρ	6.37	Mg/m³
D(E_F)	17.06	states/eV/f.u.
electronic total energy	-5.54	eV per atom

The structure in POSCAR format:
```
Sm3DyY6Er2
1.0
6.1880 0.0015 0.0045
-3.0912 5.3606 0.0045
-1.0361 -1.7940 11.6405
Sm Dy Y Er
3 1 6 2
direct
0.1667 0.8333 0.5000
0.8333 0.1667 0.5000
0.5000 0.5000 0.5000
0.0000 0.0000 0.0000
0.9175 0.5840 0.7528
0.7490 0.7490 0.2472
0.0825 0.4160 0.2472
0.5840 0.9175 0.7528
0.2510 0.2510 0.7528
0.4160 0.0825 0.2472
0.3333 0.6667 0.0000
0.6667 0.3333 0.0000
```

---

(10)
First-principles (GGA-PBE) data for an optimized crystal structure of SmDy5YEr2, as listed in Alexandria via LeMat-Bulk.

## Properties
formation energy	0.1615	eV/atom
ρ	7.84	Mg/m³
D(E_F)	14.39	states/eV/f.u.
electronic total energy	-4.65	eV per atom

The structure in POSCAR format:
```
SmDy5YEr2
1.0
5.5921 0.0000 0.0000
-2.7961 9.9593 0.0000
0.0000 0.0000 10.5400
Sm Dy Y Er
2 10 2 4
direct
0.7998 0.5997 0.5118
0.2002 0.4003 0.0118
0.3921 0.7843 0.0245
0.7196 0.4391 0.8079
0.4781 0.9563 0.7381
0.3002 0.6004 0.7077
0.9830 0.9660 0.5251
0.6079 0.2157 0.5245
0.2804 0.5609 0.3079
0.5219 0.0437 0.2381
0.6998 0.3996 0.2077
0.0170 0.0340 0.0251
0.5868 0.1736 0.9534
0.4132 0.8264 0.4534
0.8866 0.7732 0.8183
0.1097 0.2195 0.7371
0.1134 0.2268 0.3183
0.8903 0.7805 0.2371
```

---

(11)
First-principles (GGA-PBE) data for an optimized crystal structure of Sm3Dy6Y2Er, as listed in Alexandria via LeMat-Bulk.

## Properties
formation energy	0.0178	eV/atom
ρ	7.65	Mg/m³
D(E_F)	16.04	states/eV/f.u.
electronic total energy	-4.92	eV per atom

The structure in POSCAR format:
```
Sm3Dy6Y2Er
1.0
-2.4881 5.0144 2.6096
1.3448 -4.9340 3.4628
11.0245 4.2419 -0.0654
Sm Dy Y Er
3 6 2 1
direct
0.1667 0.8333 0.5000
0.8333 0.1667 0.5000
0.5000 0.5000 0.5000
0.9171 0.5847 0.7521
0.7504 0.7504 0.2480
0.0829 0.4153 0.2479
0.5847 0.9171 0.7521
0.2496 0.2496 0.7520
0.4153 0.0829 0.2479
0.3334 0.6666 0.0000
0.6666 0.3334 0.0000
0.0000 0.0000 0.0000
```

---

(12)
First-principles (GGA-PBE) data for an optimized crystal structure of Sm2DyY3Er6, as listed in Alexandria via LeMat-Bulk.

## Properties
formation energy	0.0218	eV/atom
ρ	7.62	Mg/m³
D(E_F)	16.78	states/eV/f.u.
electronic total energy	-5.05	eV per atom

The structure in POSCAR format:
```
Sm2DyY3Er6
1.0
6.1413 0.0020 0.0016
-3.0674 5.3204 0.0016
-1.0238 -1.7727 11.5586
Sm Dy Y Er
2 1 3 6
direct
0.3333 0.6667 0.0000
0.6667 0.3333 0.0000
0.0000 0.0000 0.0000
0.1665 0.8335 0.5000
0.8335 0.1665 0.5000
0.5000 0.5000 0.5000
0.9161 0.5830 0.7496
0.7511 0.7511 0.2505
0.0839 0.4170 0.2504
0.5830 0.9161 0.7496
0.2489 0.2489 0.7495
0.4170 0.0839 0.2504
```